Computed, not measured: a relaxed structure of PaReN2 at the PBE level of DFT.

Values from the calculation:
Raw formation energy: -0.435 eV/atom
Symmetry: R-3m, No. 166
ρ: 11.27 g/cm³

Cell and atoms, written as CIF:
```
data_PaReN2
_chemical_formula_sum 'Pa1 Re1 N2'
_space_group_name_H-M_alt 'P 1'
_space_group_IT_number 1
_space_group_name_Hall 'P 1'
_cell_length_a 3.666
_cell_length_b 3.666
_cell_length_c 6.018
_cell_angle_alpha 72.26
_cell_angle_beta 72.26
_cell_angle_gamma 60.00
loop_
_atom_site_label
_atom_site_fract_x
_atom_site_fract_y
_atom_site_fract_z
_atom_site_occupancy
Re1 0.000 0.000 0.000 1
N1 0.886 0.886 0.343 1
N2 0.114 0.114 0.657 1
Pa1 0.500 0.500 0.500 1
```